(1)
A relaxed structure of Cs2BaZnRh. Source: Alexandria via LeMat-Bulk, functional GGA-PBE.

Computed properties:
Magnetization (μB/cell): 0.002
ΔH_f (0 K) (eV/atom): 0.46

Cell: 6.443 6.443 5.056 Å, 90.00 90.00 90.00°
Fractional coordinates of all 5 atoms:
1 Cs 0.000 0.500 0.000
2 Cs 0.500 0.000 0.000
3 Ba 0.000 0.000 0.500
4 Zn 0.500 0.500 0.500
5 Rh 0.500 0.500 0.000



(2)
A relaxed structure of Ca2MnAlSb. Source: Alexandria via LeMat-Bulk, functional GGA-PBE.

Computed properties:
Magnetization (μB/cell): 3.107
Uncorrected formation energy (eV/atom): 0.15

Cell: 5.634 5.634 4.727 Å, 90.00 90.00 90.00°
Fractional coordinates of all 5 atoms:
1 Ca 0.000 0.500 0.000
2 Ca 0.500 0.000 0.000
3 Mn 0.000 0.000 0.500
4 Al 0.000 0.000 0.000
5 Sb 0.500 0.500 0.500



(3)
A relaxed structure of NdTmGe. Source: Alexandria via LeMat-Bulk, functional GGA-PBE.

Computed properties:
Magnetization (μB/cell): 0.000
ΔH_f (0 K) (eV/atom): -0.56

Cell: 6.674 6.674 6.146 Å, 90.00 90.00 143.46°
Fractional coordinates of all 6 atoms:
1 Nd 0.000 0.000 0.000
2 Nd 0.000 0.000 0.500
3 Tm 0.291 0.709 0.750
4 Tm 0.709 0.291 0.250
5 Ge 0.363 0.637 0.250
6 Ge 0.637 0.363 0.750



(4)
A relaxed structure of LiAu2Br. Source: Alexandria via LeMat-Bulk, functional GGA-PBE.

Computed properties:
Magnetization (μB/cell): 0.000
Uncorrected formation energy (eV/atom): -0.43
Energy relative to the lowest polymorph listed for this composition (meV/atom): 33

Cell: 7.408 7.408 7.408 Å, 150.49 150.49 42.22°
Fractional coordinates of all 4 atoms:
1 Li 0.000 0.000 0.000
2 Au 0.250 0.750 0.500
3 Au 0.750 0.250 0.500
4 Br 0.500 0.500 0.000



(5)
A relaxed structure of Tb5HgIr2. Source: Alexandria via LeMat-Bulk, functional GGA-PBE.

Computed properties:
Magnetization (μB/cell): 0.000
ΔH_f (0 K) (eV/atom): -0.68

Cell: 8.705 8.705 8.705 Å, 126.79 126.79 78.59°
Fractional coordinates of all 16 atoms:
1 Tb 0.000 0.000 0.000
2 Tb 0.026 0.526 0.821
3 Tb 0.205 0.026 0.500
4 Tb 0.295 0.795 0.821
5 Tb 0.474 0.295 0.500
6 Tb 0.500 0.500 0.000
7 Tb 0.526 0.705 0.500
8 Tb 0.705 0.205 0.179
9 Tb 0.795 0.974 0.500
10 Tb 0.974 0.474 0.179
11 Hg 0.250 0.250 0.000
12 Hg 0.750 0.750 0.000
13 Ir 0.140 0.360 0.500
14 Ir 0.360 0.860 0.220
15 Ir 0.640 0.140 0.780
16 Ir 0.860 0.640 0.500



(6)
A relaxed structure of LiTcAgI6. Source: Alexandria via LeMat-Bulk, functional GGA-PBE.

Computed properties:
Magnetization (μB/cell): 5.920
Uncorrected formation energy (eV/atom): -0.32

Cell: 7.244 7.244 13.236 Å, 90.00 90.00 120.00°
Fractional coordinates of all 18 atoms:
1 Li 0.333 0.667 0.250
2 Li 0.667 0.333 0.750
3 Tc 0.333 0.667 0.750
4 Tc 0.667 0.333 0.250
5 Ag 0.000 0.000 0.000
6 Ag 0.000 0.000 0.500
7 I 0.018 0.361 0.630
8 I 0.018 0.657 0.870
9 I 0.343 0.361 0.870
10 I 0.343 0.982 0.630
11 I 0.361 0.018 0.130
12 I 0.361 0.343 0.370
13 I 0.639 0.657 0.630
14 I 0.639 0.982 0.870
15 I 0.657 0.018 0.370
16 I 0.657 0.639 0.130
17 I 0.982 0.343 0.130
18 I 0.982 0.639 0.370



| no. | ρ (g cm⁻³) | raw total energy (eV/f.u.) |
| --- | --- | --- |
| 1 | 4.52 | -9.97 |
| 2 | 3.14 | -20.27 |
| 3 | 7.86 | -15.55 |
| 4 | 8.11 | -11.86 |
| 5 | 11.19 | -46.58 |
| 6 | 5.38 | -27.29 |